(1)
DFT (PBE) results for crystalline CoHgPd3 at its relaxed geometry.

a = 4.6081 Å, b = 4.6081 Å, c = 4.6081 Å
α = 90.00°, β = 90.00°, γ = 90.00°
Last column: nearest neighbours and their distance in Å.
Space group Pm-3m (No. 221)
Unique sites:
Co 0.0000 0.0000 0.0000  6 Pd 2.30
Hg 0.5000 0.5000 0.5000  12 Pd 3.26
Pd 0.0000 0.0000 0.5000  2 Co 2.30

Output
The total energy is -3.98 eV per atom. The value obtained for the energy of formation from the pure elements is 14.2 kcal/mol of atoms.

(2)
DFT (PBE) results for crystalline Ca6GaN2 at its relaxed geometry.

a = 13.6988 Å, b = 4.2016 Å, c = 9.4322 Å
α = 90.00°, β = 99.60°, γ = 90.00°
Last column: nearest neighbours and their distance in Å.
Space group C2/m (No. 12)
Unique sites:
Ca 0.0969 0.0000 0.2222  1 N 2.24
Ca 0.1568 0.5000 0.6120  1 N 2.32
Ca 0.1884 0.0000 0.8981  3 N 2.37-2.47
Ga 0.0000 0.0000 0.5000  6 Ca 3.06-3.13
N 0.2478 0.0000 0.1601  5 Ca 2.24-2.47

Output
For the raw formation energy, the calculation gives -0.49 eV/atom. The total energy is -4.01 eV per atom.

(3)
DFT (PBE) results for crystalline Hg2TePb at its relaxed geometry.

a = 4.5338 Å, b = 4.5648 Å, c = 5.9119 Å
α = 90.00°, β = 90.00°, γ = 90.00°
Last column: nearest neighbours and their distance in Å.
Space group Pmmm (No. 47)
Unique sites:
Hg 0.0000 0.0000 0.0000  4 Hg 3.22
Hg 0.5000 0.5000 0.0000  4 Hg 3.22
Te 0.0000 0.5000 0.5000  4 Pb 3.22
Pb 0.5000 0.0000 0.5000  4 Te 3.22

Output
The calculation puts the polymorph energy (0 for the lowest one) at 0.51 eV/f.u. For the raw formation energy, the calculation gives -0.04 eV/atom. The total energy is -1.90 eV per atom.